Entry from Alexandria via LeMat-Bulk: crystalline SnSbN2O at its relaxed geometry (GGA-PBE).

total moment: 0.1 μB per cell
D(E_F): 3.91 states/eV/cell
calculated total energy: -26.63 eV/cell
uncorrected formation energy: 621 meV/atom

Geometry as POSCAR:
```
SnSbN2O
1.0
4.160 0.000 0.000
0.000 4.160 0.000
0.000 0.000 4.055
Sn N O Sb
1 2 1 1
direct
0.000 0.000 0.000
0.500 0.000 0.000
0.000 0.500 0.000
0.000 0.000 0.500
0.500 0.500 0.500
```

***

Entry from Alexandria via LeMat-Bulk: crystalline SnSbN2O at its relaxed geometry (GGA-PBE).

total moment: 0.0 μB per cell
D(E_F): 1.98 states/eV/cell
calculated total energy: -27.68 eV/cell
uncorrected formation energy: 410 meV/atom

Geometry as POSCAR:
```
SnSbN2O
1.0
4.113 0.000 0.000
0.000 4.113 0.000
0.000 0.000 4.017
N Sb O Sn
2 1 1 1
direct
0.000 0.500 0.000
0.500 0.000 0.000
0.000 0.000 0.000
0.000 0.000 0.500
0.500 0.500 0.500
```

***

Entry from Alexandria via LeMat-Bulk: crystalline SnSbNO2 at its relaxed geometry (GGA-PBE).

total moment: 0.0 μB per cell
D(E_F): 0.18 states/eV/cell
calculated total energy: -27.56 eV/cell
uncorrected formation energy: -239 meV/atom

Geometry as POSCAR:
```
SnSbNO2
1.0
-1.172 -0.646 -3.799
-0.319 -3.941 0.769
-4.045 0.552 1.154
Sn O Sb N
1 2 1 1
direct
0.000 0.000 0.000
0.500 0.000 0.000
0.000 0.500 0.000
0.500 0.500 0.500
0.000 0.000 0.500
```

***

Entry from Alexandria via LeMat-Bulk: crystalline SnSbNO2 at its relaxed geometry (GGA-PBE).

total moment: 0.0 μB per cell
D(E_F): 0.82 states/eV/cell
calculated total energy: -28.37 eV/cell
uncorrected formation energy: -400 meV/atom

Geometry as POSCAR:
```
SnSbNO2
1.0
4.061 0.000 0.000
0.000 4.061 0.000
0.000 0.000 4.115
Sn O Sb N
1 2 1 1
direct
0.500 0.500 0.500
0.500 0.000 0.000
0.000 0.500 0.000
0.000 0.000 0.000
0.000 0.000 0.500
```

***

Entry from Alexandria via LeMat-Bulk: crystalline SrSbN2O at its relaxed geometry (GGA-PBE).

total moment: 0.6 μB per cell
D(E_F): 2.88 states/eV/cell
calculated total energy: -20.77 eV/cell
uncorrected formation energy: 1330 meV/atom

Geometry as POSCAR:
```
SrSbN2O
1.0
4.374 0.000 0.000
0.000 4.374 0.000
0.000 0.000 4.514
Sr Sb N O
1 1 2 1
direct
0.000 0.000 0.000
0.500 0.500 0.500
0.000 0.500 0.000
0.500 0.000 0.000
0.000 0.000 0.500
```

***

Entry from Alexandria via LeMat-Bulk: crystalline SrSbNO2 at its relaxed geometry (GGA-PBE).

total moment: 0.3 μB per cell
D(E_F): 1.74 states/eV/cell
calculated total energy: -21.64 eV/cell
uncorrected formation energy: 481 meV/atom

Geometry as POSCAR:
```
SrSbNO2
1.0
-0.116 4.392 0.659
-0.384 -0.667 4.376
4.419 0.058 0.396
N Sr Sb O
1 1 1 2
direct
0.000 0.000 0.500
0.000 0.000 0.000
0.500 0.500 0.500
0.500 0.000 0.000
0.000 0.500 0.000
```

***

Entry from Alexandria via LeMat-Bulk: crystalline SrSbNO2 at its relaxed geometry (GGA-PBE).

total moment: 0.0 μB per cell
D(E_F): 0.69 states/eV/cell
calculated total energy: -30.43 eV/cell
uncorrected formation energy: -1277 meV/atom

Geometry as POSCAR:
```
SrSbNO2
1.0
4.116 0.000 0.000
0.000 4.116 0.000
0.000 0.000 4.016
Sb O N Sr
1 2 1 1
direct
0.000 0.000 0.000
0.500 0.000 0.000
0.000 0.500 0.000
0.000 0.000 0.500
0.500 0.500 0.500
```

***

Entry from Alexandria via LeMat-Bulk: crystalline Sr6Sb2NO at its relaxed geometry (GGA-PBE).

total moment: 0.0 μB per cell
D(E_F): 4.57 states/eV/cell
calculated total energy: -88.44 eV/cell
uncorrected formation energy: -1260 meV/atom

Geometry as POSCAR:
```
Sr6Sb2NO
1.0
7.333 0.000 0.000
0.000 7.333 0.000
0.000 0.000 10.330
Sr Sb O N
12 4 2 2
direct
0.752 0.998 0.000
0.748 0.002 0.500
0.500 0.250 0.252
0.748 0.498 0.500
0.500 0.250 0.748
0.752 0.502 0.000
0.248 0.998 0.000
0.000 0.750 0.248
0.000 0.750 0.752
0.252 0.002 0.500
0.252 0.498 0.500
0.248 0.502 0.000
0.000 0.250 0.250
0.500 0.750 0.250
0.000 0.250 0.750
0.500 0.750 0.750
0.500 0.250 0.000
0.000 0.750 0.500
0.000 0.750 0.000
0.500 0.250 0.500
```

***

Entry from Alexandria via LeMat-Bulk: crystalline SrSbN2O at its relaxed geometry (GGA-PBE).

total moment: 0.4 μB per cell
D(E_F): 2.57 states/eV/cell
calculated total energy: -29.46 eV/cell
uncorrected formation energy: -410 meV/atom

Geometry as POSCAR:
```
SrSbN2O
1.0
4.081 0.000 0.000
0.000 4.081 0.000
0.000 0.000 4.175
Sb N Sr O
1 2 1 1
direct
0.000 0.000 0.000
0.000 0.500 0.000
0.500 0.000 0.000
0.500 0.500 0.500
0.000 0.000 0.500
```

***

Entry from Alexandria via LeMat-Bulk: crystalline SbTeNO2 at its relaxed geometry (GGA-PBE).

total moment: 0.0 μB per cell
D(E_F): 1.82 states/eV/cell
calculated total energy: -24.52 eV/cell
uncorrected formation energy: 197 meV/atom

Geometry as POSCAR:
```
SbTeNO2
1.0
-2.647 -0.904 -3.029
1.164 -3.952 0.162
-3.091 -0.790 2.937
O N Sb Te
2 1 1 1
direct
0.500 0.000 0.000
0.000 0.500 0.000
0.000 0.000 0.500
0.500 0.500 0.500
0.000 0.000 0.000
```

***

Entry from Alexandria via LeMat-Bulk: crystalline Sb2TeNO at its relaxed geometry (GGA-PBE).

total moment: 0.0 μB per cell
D(E_F): 5.93 states/eV/cell
calculated total energy: -19.95 eV/cell
relative energy among the computed polymorphs: 0.0 meV per atom
uncorrected formation energy: 945 meV/atom

Geometry as POSCAR:
```
Sb2TeNO
1.0
-4.756 -0.143 0.366
-0.028 -4.313 -2.043
0.370 -1.927 4.064
Te Sb O N
1 2 1 1
direct
0.000 0.000 0.500
0.500 0.000 0.000
0.000 0.500 0.000
0.500 0.500 0.500
0.000 0.000 0.000
```

***

Entry from Alexandria via LeMat-Bulk: crystalline SbTeNO2 at its relaxed geometry (GGA-PBE).

total moment: 0.0 μB per cell
D(E_F): 1.96 states/eV/cell
calculated total energy: -25.02 eV/cell
uncorrected formation energy: 96 meV/atom

Geometry as POSCAR:
```
SbTeNO2
1.0
-2.452 -2.614 1.828
2.375 0.042 3.247
-2.264 3.253 1.614
Sb N Te O
1 1 1 2
direct
0.000 0.000 0.000
0.000 0.000 0.500
0.500 0.500 0.500
0.000 0.500 0.000
0.500 0.000 0.000
```

***

Entry from Alexandria via LeMat-Bulk: crystalline Th2SbNO at its relaxed geometry (GGA-PBE).

total moment: 0.0 μB per cell
D(E_F): 0.01 states/eV/cell
calculated total energy: -43.27 eV/cell
uncorrected formation energy: -2205 meV/atom

Geometry as POSCAR:
```
Th2SbNO
1.0
-6.141 -3.503 -0.080
-1.673 -6.589 -1.941
4.392 4.134 3.689
Th O N Sb
2 1 1 1
direct
0.655 0.655 0.000
0.345 0.345 0.000
0.250 0.750 0.500
0.750 0.250 0.500
0.000 0.000 0.000
```

***

Entry from Alexandria via LeMat-Bulk: crystalline Ti2SbNO at its relaxed geometry (GGA-PBE).

total moment: 0.0 μB per cell
D(E_F): 3.41 states/eV/cell
calculated total energy: -33.98 eV/cell
uncorrected formation energy: -157 meV/atom

Geometry as POSCAR:
```
Ti2SbNO
1.0
4.040 0.000 0.000
0.000 4.308 0.000
0.000 0.000 4.040
N Ti O Sb
1 2 1 1
direct
0.000 0.500 0.000
0.000 0.000 0.500
0.500 0.000 0.000
0.000 0.000 0.000
0.500 0.500 0.500
```